# 1
DFT (PBE-GGA) results for Cr2Si2Ag after structural relaxation.

Cell and atoms, written as CIF:
```
data_Cr2Si2Ag
_cell_length_a 6.8952
_cell_length_b 6.8952
_cell_length_c 2.8915
_cell_angle_alpha 90.00
_cell_angle_beta 90.00
_cell_angle_gamma 90.00
_space_group_name_H-M_alt 'P 4/m b m'
_space_group_IT_number 127
_space_group_name_Hall '-P 4 2ab'
loop_
_atom_site_label
_atom_site_fract_x
_atom_site_fract_y
_atom_site_fract_z
_atom_site_occupancy
Cr1 0.1592 0.3408 0.0000 1
Si1 0.1332 0.6332 0.5000 1
Ag1 0.0000 0.0000 0.5000 1
```

Summary:
For the density of states at the Fermi level, the calculation gives 0.71 states/eV per atom. The calculated total energy is -0.4822 Ry per atom. The formation energy (no corrections) is 0.028 eV per atom.



# 2
DFT (PBE-GGA) results for CrSiAg2 after structural relaxation.

Cell and atoms, written as CIF:
```
data_CrSiAg2
_cell_length_a 9.6166
_cell_length_b 3.0032
_cell_length_c 4.9698
_cell_angle_alpha 90.00
_cell_angle_beta 112.82
_cell_angle_gamma 90.00
_space_group_name_H-M_alt 'C 1 m 1'
_space_group_IT_number 8
loop_
_space_group_symop_operation_xyz
'x,y,z'
'x,-y,z'
'x+1/2,y+1/2,z'
'x+1/2,-y+1/2,z'
loop_
_atom_site_label
_atom_site_fract_x
_atom_site_fract_y
_atom_site_fract_z
_atom_site_occupancy
Cr1 0.0000 0.0000 0.0000 1
Si1 0.2727 0.0000 0.8948 1
Ag1 0.0508 0.5000 0.5439 1
Ag2 0.2810 0.5000 0.3485 1
```

Summary:
For the density of states at the Fermi level, the calculation gives 0.52 states/eV per atom. The calculated total energy is -0.3569 Ry per atom. The formation energy (no corrections) is 0.332 eV per atom.